No. 1
First-principles (GGA-PBE) data for a relaxed structure of Ta6CoRh5, as listed in Alexandria.

Results
VASP energy: -9.991 eV/atom
mass density: 14.64 g/cm3
energy of formation from the pure elements: -0.409 eV per atom

a b c (Å): 4.038 7.644 12.195
angles (deg): 90.00 90.00 90.00
Space group Immm (No. 71)
Symmetry-distinct sites (fractional):
Ta: 0.000 0.242 0.000 [4 per cell]
Ta: 0.000 0.254 0.335 [8 per cell]
Co: 0.000 0.500 0.500 [2 per cell]
Rh: 0.000 0.000 0.166 [4 per cell]
Rh: 0.000 0.000 0.500 [2 per cell]
Rh: 0.000 0.500 0.166 [4 per cell]

---

No. 2
First-principles (GGA-PBE) data for a relaxed structure of TaCoRh4, as listed in Alexandria.

Results
VASP energy: -7.974 eV/atom
mass density: 11.85 g/cm3
energy of formation from the pure elements: 0.087 eV per atom

a b c (Å): 7.149 7.149 7.149
angles (deg): 90.00 90.00 90.00
Space group F-43m (No. 216)
Symmetry-distinct sites (fractional):
Ta: 0.000 0.000 0.000 [4 per cell]
Co: 0.250 0.250 0.750 [4 per cell]
Rh: 0.125 0.125 0.375 [16 per cell]

---

No. 3
First-principles (GGA-PBE) data for a relaxed structure of TaCoRh, as listed in Alexandria.

Results
VASP energy: -8.600 eV/atom
mass density: 11.88 g/cm3
energy above the most stable polymorph in this dataset: 557 meV/atom
energy of formation from the pure elements: 0.170 eV per atom

a b c (Å): 3.297 3.639 3.993
angles (deg): 90.00 90.00 90.00
Space group Pmmm (No. 47)
Symmetry-distinct sites (fractional):
Ta: 0.000 0.000 0.000 [1 per cell]
Co: 0.500 0.500 0.000 [1 per cell]
Rh: 0.000 0.500 0.500 [1 per cell]

---

No. 4
First-principles (GGA-PBE) data for a relaxed structure of TaCoRh, as listed in Alexandria.

Results
VASP energy: -9.024 eV/atom
mass density: 13.09 g/cm3
energy above the most stable polymorph in this dataset: 134 meV/atom
energy of formation from the pure elements: -0.254 eV per atom

a b c (Å): 3.159 3.159 8.711
angles (deg): 90.00 90.00 90.00
Space group I4mm (No. 107)
Symmetry-distinct sites (fractional):
Ta: 0.000 0.000 0.000 [2 per cell]
Co: 0.000 0.000 0.645 [2 per cell]
Rh: 0.000 0.000 0.327 [2 per cell]

---

No. 5
First-principles (GGA-PBE) data for a relaxed structure of TaCoRh, as listed in Alexandria.

Results
VASP energy: -8.651 eV/atom
mass density: 11.36 g/cm3
energy above the most stable polymorph in this dataset: 507 meV/atom
energy of formation from the pure elements: 0.119 eV per atom

a b c (Å): 5.851 5.851 5.851
angles (deg): 90.00 90.00 90.00
Space group F-43m (No. 216)
Symmetry-distinct sites (fractional):
Ta: 0.000 0.000 0.000 [4 per cell]
Co: 0.250 0.250 0.250 [4 per cell]
Rh: 0.250 0.250 0.750 [4 per cell]

---

No. 6
First-principles (GGA-PBE) data for a relaxed structure of TaTiCoRh, as listed in Alexandria.

Results
VASP energy: -8.898 eV/atom
mass density: 10.89 g/cm3
energy of formation from the pure elements: -0.347 eV per atom

a b c (Å): 6.199 6.199 6.199
angles (deg): 90.00 90.00 90.00
Space group F-43m (No. 216)
Symmetry-distinct sites (fractional):
Ta: 0.000 0.000 0.000 [4 per cell]
Ti: 0.000 0.000 0.500 [4 per cell]
Co: 0.250 0.250 0.250 [4 per cell]
Rh: 0.250 0.250 0.750 [4 per cell]

---

No. 7
First-principles (GGA-PBE) data for a relaxed structure of TmTaCoRh, as listed in Alexandria.

Results
VASP energy: -7.990 eV/atom
mass density: 12.62 g/cm3
energy of formation from the pure elements: -0.295 eV per atom

a b c (Å): 6.458 6.458 6.458
angles (deg): 90.00 90.00 90.00
Space group F-43m (No. 216)
Symmetry-distinct sites (fractional):
Tm: 0.000 0.000 0.000 [4 per cell]
Ta: 0.000 0.000 0.500 [4 per cell]
Co: 0.250 0.250 0.250 [4 per cell]
Rh: 0.250 0.250 0.750 [4 per cell]

---

No. 8
First-principles (GGA-PBE) data for a relaxed structure of TaVCoRh2, as listed in Alexandria.

Results
VASP energy: -7.520 eV/atom
mass density: 9.50 g/cm3
energy above the most stable polymorph in this dataset: 0 meV/atom
energy of formation from the pure elements: 1.036 eV per atom

a b c (Å): 4.430 4.430 4.425
angles (deg): 90.00 90.00 90.00
Space group P4/mmm (No. 123)
Symmetry-distinct sites (fractional):
Ta: 0.000 0.000 0.000 [1 per cell]
V: 0.500 0.500 0.000 [1 per cell]
Co: 0.000 0.000 0.500 [1 per cell]
Rh: 0.000 0.500 0.500 [2 per cell]

---

- Among the records above, which one has the highest VASP energy?
  TaVCoRh2